Density functional theory data (GGA-PBEsol) for an optimized crystal structure of CrInBi2.

Summary:
ΔE_f, meV/atom: 557.1

abc: 6.298 6.298 13.578
angles: 90.00 90.00 90.00
Sites, in units of the cell vectors:
Cr 0.000 0.000 0.000
Cr 0.000 0.500 0.250
Cr 0.500 0.000 0.750
Cr 0.500 0.500 0.500
In 0.000 0.000 0.500
In 0.000 0.500 0.750
In 0.500 0.000 0.250
In 0.500 0.500 0.000
Bi 0.213 0.250 0.125
Bi 0.250 0.713 0.375
Bi 0.250 0.787 0.875
Bi 0.287 0.250 0.625
Bi 0.713 0.750 0.625
Bi 0.750 0.213 0.875
Bi 0.750 0.287 0.375
Bi 0.787 0.750 0.125